[1]
An optimized crystal structure of Yb2MgS4. Source: the Alexandria database, functional PBE-GGA.

The formation energy (no corrections) is -1.5187 eV/atom. The value obtained for the calculated total energy is -4.54 eV per atom.

abc: 11.102 11.102 11.102
angles: 90.00 90.00 90.00
Space group Fd-3m (No. 227, origin choice 2)
One atom of each set of equivalent atoms:
Yb 0.000 0.000 0.000 [16 per cell]
Mg 0.125 0.125 0.625 [8 per cell]
S 0.004 0.004 0.246 [32 per cell]

[2]
An optimized crystal structure of MgBeIn2. Source: the Alexandria database, functional PBE-GGA.

Its formation energy from the elements is 0.28 eV/atom. The value obtained for the calculated total energy is -2.42 eV per atom.

abc: 3.523 4.232 5.852
angles: 90.00 103.77 90.00
Space group P2/m (No. 10)
One atom of each set of equivalent atoms:
Mg 0.000 0.000 0.000 [1 per cell]
Be 0.000 0.000 0.500 [1 per cell]
In 0.352 0.500 0.726 [2 per cell]

[3]
An optimized crystal structure of Ta4TcW. Source: the Alexandria database, functional PBE-GGA.

Its formation energy from the elements is 0.45 eV/atom. The value obtained for the calculated total energy is -11.34 eV per atom.

abc: 7.555 7.555 7.555
angles: 90.00 90.00 90.00
Space group F-43m (No. 216)
One atom of each set of equivalent atoms:
Ta 0.125 0.125 0.125 [16 per cell]
Tc 0.250 0.250 0.750 [4 per cell]
W 0.000 0.000 0.500 [4 per cell]

[4]
An optimized crystal structure of NaLuSn. Source: the Alexandria database, functional PBE-GGA.

Its formation energy from the elements is -0.19 eV/atom. The value obtained for the calculated total energy is -3.47 eV per atom.

abc: 5.1149 5.1149 3.4283
angles: 90.00 90.00 120.00
Space group P3m1 (No. 156)
One atom of each set of equivalent atoms:
Na 0.0000 0.0000 0.0000 [1 per cell]
Lu 0.3333 0.6667 0.4336 [1 per cell]
Sn 0.6667 0.3333 0.8320 [1 per cell]